# 1
The following is a DFT calculation (GGA-PBEsol) of an optimized crystal structure of ScMn4Re.

Cell: 4.7120 4.7120 4.7120 Å, 60.00 60.00 60.00°
Positions (direct):
1 Mn 0.3738 0.3738 0.8786
2 Re 0.7500 0.7500 0.7500
3 Mn 0.8786 0.3738 0.3738
4 Mn 0.3738 0.3738 0.3738
5 Sc 0.0000 0.0000 0.0000
6 Mn 0.3738 0.8786 0.3738

Values from the calculation:
**ΔH_f (0 K)**: -0.050 eV per atom
**Total energy**: -9.881 eV/atom
**Spin magnetization**: 0.00 μB/f.u.
**SG**: F-43m, No. 216

=====

# 2
The following is a DFT calculation (GGA-PBEsol) of an optimized crystal structure of La2CoCu.

Cell: 3.4968 3.5130 7.0550 Å, 95.71 90.00 90.00°
Positions (direct):
1 La 0.0000 0.9447 0.7318
2 Cu 0.5000 0.5000 0.0000
3 Co 0.5000 0.5000 0.5000
4 La 0.0000 0.0553 0.2682

Values from the calculation:
**ΔH_f (0 K)**: -0.017 eV per atom
**Total energy**: -5.708 eV/atom
**Spin magnetization**: 0.00 μB/f.u.
**SG**: P2/m, No. 10

=====

# 3
The following is a DFT calculation (GGA-PBEsol) of an optimized crystal structure of ZnNi2N2.

Cell: 3.4617 3.4617 4.8622 Å, 90.00 90.00 90.00°
Positions (direct):
1 Ni 0.0000 0.0000 0.2615
2 Zn 0.5000 0.5000 0.0000
3 N 0.5000 0.0000 0.7539
4 Ni 0.0000 0.0000 0.7385
5 N 0.0000 0.5000 0.2461

Values from the calculation:
**Total energy**: -5.785 eV/atom
**Spin magnetization**: 0.00 μB/f.u.
**SG**: P-4m2, No. 115

=====

# 4
The following is a DFT calculation (GGA-PBEsol) of an optimized crystal structure of CdIn2Rh.

Cell: 2.9517 4.4506 6.8586 Å, 108.93 102.43 90.00°
Positions (direct):
1 Cd 0.1863 0.6863 0.3726
2 In 0.0066 0.0066 0.0132
3 In 0.8118 0.3118 0.6237
4 Rh 0.4953 0.4953 0.9905

Values from the calculation:
**ΔH_f (0 K)**: -0.201 eV per atom
**Total energy**: -4.026 eV/atom
**Spin magnetization**: 0.00 μB/f.u.
**SG**: Imm2, No. 44

=====

# 5
The following is a DFT calculation (GGA-PBEsol) of an optimized crystal structure of MnPd2N2.

Cell: 2.7934 2.9064 7.5717 Å, 81.80 79.37 61.28°
Positions (direct):
1 Pd 0.7416 0.6663 0.8504
2 N 0.2627 0.8330 0.6416
3 N 0.7373 0.1670 0.3584
4 Mn 0.0000 0.5000 0.5000
5 Pd 0.2584 0.3337 0.1496

Values from the calculation:
**Total energy**: -7.604 eV/atom
**Spin magnetization**: 1.90 μB/f.u.
**SG**: C2/m, No. 12

=====

# 6
The following is a DFT calculation (GGA-PBEsol) of an optimized crystal structure of Cs3RuC.

Cell: 5.6849 5.6849 5.6849 Å, 90.00 90.00 90.00°
Positions (direct):
1 Ru 0.0000 0.0000 0.0000
2 Cs 0.5000 0.0000 0.0000
3 Cs 0.0000 0.0000 0.5000
4 Cs 0.0000 0.5000 0.0000
5 C 0.5000 0.5000 0.5000

Values from the calculation:
**ΔH_f (0 K)**: 1.799 eV per atom
**Total energy**: -2.730 eV/atom
**Spin magnetization**: 2.86 μB/f.u.
**SG**: Pm-3m, No. 221